# K2Tl5Pt PBE optimized geometry
data_K2Tl5Pt
_space_group_name_H-M_alt 'P 1'
_space_group_IT_number 1
_space_group_name_Hall 'P 1'
_cell_length_a 6.7246
_cell_length_b 6.7246
_cell_length_c 7.9907
_cell_angle_alpha 114.87
_cell_angle_beta 114.87
_cell_angle_gamma 90.01
loop_
_atom_site_label
_atom_site_fract_x
_atom_site_fract_y
_atom_site_fract_z
K1 0.2884 0.7884 0.5768
K2 0.7884 0.2884 0.5768
Tl1 0.7648 0.2778 0.0427
Tl2 0.2779 0.2779 0.0428
Tl3 0.7648 0.7648 0.0427
Tl4 0.2778 0.7647 0.0427
Tl5 0.7011 0.7011 0.4019
Pt1 0.9138 0.9138 0.8276
# DFT formation energy	-0.061	eV per atom
# raw total energy	-20.56	eV/cell

---

# K3Tl3Pt PBE optimized geometry
data_K3Tl3Pt
_space_group_name_H-M_alt 'P 1'
_space_group_IT_number 1
_space_group_name_Hall 'P 1'
_cell_length_a 6.7782
_cell_length_b 6.7782
_cell_length_c 11.9073
_cell_angle_alpha 92.52
_cell_angle_beta 92.52
_cell_angle_gamma 107.92
loop_
_atom_site_label
_atom_site_fract_x
_atom_site_fract_y
_atom_site_fract_z
K1 0.4378 0.4378 0.6780
K2 0.1719 0.8281 0.5000
K3 0.8281 0.1719 0.5000
K4 0.3147 0.6853 0.0000
K5 0.6853 0.3147 0.0000
K6 0.5622 0.5622 0.3220
Tl1 0.1411 0.1411 0.8868
Tl2 0.4504 0.0273 0.2509
Tl3 0.0273 0.4504 0.2509
Tl4 0.5496 0.9727 0.7491
Tl5 0.9727 0.5496 0.7491
Tl6 0.8589 0.8589 0.1132
Pt1 0.2058 0.2058 0.1268
Pt2 0.7942 0.7942 0.8732
# DFT formation energy	-0.097	eV per atom
# raw total energy	-34.23	eV/cell

---

# KTlPt4 PBE optimized geometry
data_KTlPt4
_space_group_name_H-M_alt 'P 1'
_space_group_IT_number 1
_space_group_name_Hall 'P 1'
_cell_length_a 5.4928
_cell_length_b 5.4928
_cell_length_c 5.4928
_cell_angle_alpha 60.00
_cell_angle_beta 60.00
_cell_angle_gamma 60.00
loop_
_atom_site_label
_atom_site_fract_x
_atom_site_fract_y
_atom_site_fract_z
K1 0.0000 0.0000 0.0000
Pt1 0.6248 0.1256 0.6248
Pt2 0.1256 0.6248 0.6248
Pt3 0.6248 0.6248 0.6248
Pt4 0.6248 0.6248 0.1256
Tl1 0.2500 0.2500 0.2500
# DFT formation energy	-0.151	eV per atom
# raw total energy	-28.53	eV/cell

---

# KTlPt2 PBE optimized geometry
data_KTlPt2
_space_group_name_H-M_alt 'P 1'
_space_group_IT_number 1
_space_group_name_Hall 'P 1'
_cell_length_a 8.0599
_cell_length_b 8.0599
_cell_length_c 6.4208
_cell_angle_alpha 51.12
_cell_angle_beta 51.12
_cell_angle_gamma 90.00
loop_
_atom_site_label
_atom_site_fract_x
_atom_site_fract_y
_atom_site_fract_z
Tl1 0.0000 0.0000 0.0000
Tl2 0.7500 0.2500 0.5000
K1 0.5000 0.5000 0.0000
K2 0.2500 0.7500 0.5000
Pt1 0.6641 0.1250 0.2500
Pt2 0.0859 0.6250 0.2500
Pt3 0.3750 0.3359 0.7500
Pt4 0.8750 0.9141 0.7500
# DFT formation energy	0.316	eV per atom
# raw total energy	-28.56	eV/cell

---

# K6Tl2Pt PBE optimized geometry
data_K6Tl2Pt
_space_group_name_H-M_alt 'P 1'
_space_group_IT_number 1
_space_group_name_Hall 'P 1'
_cell_length_a 6.1757
_cell_length_b 6.1757
_cell_length_c 12.0813
_cell_angle_alpha 75.19
_cell_angle_beta 75.19
_cell_angle_gamma 60.00
loop_
_atom_site_label
_atom_site_fract_x
_atom_site_fract_y
_atom_site_fract_z
K1 0.5775 0.5775 0.2675
K2 0.8103 0.8103 0.5690
K3 0.6889 0.6889 0.9332
K4 0.1897 0.1897 0.4310
K5 0.4225 0.4225 0.7325
K6 0.3111 0.3111 0.0668
Tl1 0.9221 0.9221 0.2338
Tl2 0.0779 0.0779 0.7662
Pt1 0.0000 0.0000 0.0000
# DFT formation energy	-0.046	eV per atom
# raw total energy	-17.77	eV/cell

---

# KTl3Pt3 PBE optimized geometry
data_KTl3Pt3
_space_group_name_H-M_alt 'P 1'
_space_group_IT_number 1
_space_group_name_Hall 'P 1'
_cell_length_a 7.6437
_cell_length_b 7.6437
_cell_length_c 7.6437
_cell_angle_alpha 90.00
_cell_angle_beta 90.00
_cell_angle_gamma 90.00
loop_
_atom_site_label
_atom_site_fract_x
_atom_site_fract_y
_atom_site_fract_z
Tl1 0.2500 0.0000 0.5000
Tl2 0.0000 0.5000 0.2500
Tl3 0.5000 0.7500 0.0000
Tl4 0.7500 0.0000 0.5000
Tl5 0.0000 0.5000 0.7500
Tl6 0.5000 0.2500 0.0000
K1 0.5000 0.5000 0.5000
K2 0.0000 0.0000 0.0000
Pt1 0.0000 0.2500 0.5000
Pt2 0.0000 0.7500 0.5000
Pt3 0.5000 0.0000 0.7500
Pt4 0.7500 0.5000 0.0000
Pt5 0.5000 0.0000 0.2500
Pt6 0.2500 0.5000 0.0000
# DFT formation energy	0.108	eV per atom
# excess energy over the best structure of this formula in the dataset	198	meV per atom
# raw total energy	-51.12	eV/cell

---

# K2Tl6Pt3 PBE optimized geometry
data_K2Tl6Pt3
_space_group_name_H-M_alt 'P 1'
_space_group_IT_number 1
_space_group_name_Hall 'P 1'
_cell_length_a 5.0760
_cell_length_b 8.5262
_cell_length_c 8.5262
_cell_angle_alpha 120.00
_cell_angle_beta 90.00
_cell_angle_gamma 90.00
loop_
_atom_site_label
_atom_site_fract_x
_atom_site_fract_y
_atom_site_fract_z
K1 0.0000 0.6667 0.3333
K2 0.0000 0.3333 0.6667
Tl1 0.5000 0.6664 0.6664
Tl2 0.5000 0.0000 0.3336
Tl3 0.0000 0.2120 0.2120
Tl4 0.0000 0.7880 0.0000
Tl5 0.5000 0.3336 0.0000
Tl6 0.0000 0.0000 0.7880
Pt1 0.5000 0.3425 0.3425
Pt2 0.5000 0.6575 0.0000
Pt3 0.5000 0.0000 0.6575
# DFT formation energy	-0.090	eV per atom
# raw total energy	-35.50	eV/cell

---

# K3TlPt8 PBE optimized geometry
data_K3TlPt8
_space_group_name_H-M_alt 'P 1'
_space_group_IT_number 1
_space_group_name_Hall 'P 1'
_cell_length_a 5.5089
_cell_length_b 5.5089
_cell_length_c 9.5713
_cell_angle_alpha 73.27
_cell_angle_beta 73.27
_cell_angle_gamma 60.00
loop_
_atom_site_label
_atom_site_fract_x
_atom_site_fract_y
_atom_site_fract_z
K1 0.3744 0.3744 0.8769
K2 0.0011 0.0011 0.9967
K3 0.4990 0.4990 0.5029
Tl1 0.8756 0.8756 0.3731
Pt1 0.9335 0.4370 0.1924
Pt2 0.4418 0.9377 0.6828
Pt3 0.4370 0.4370 0.1924
Pt4 0.9377 0.9377 0.6828
Pt5 0.1876 0.1876 0.4371
Pt6 0.6875 0.6875 0.9376
Pt7 0.4370 0.9335 0.1924
Pt8 0.9377 0.4418 0.6828
# DFT formation energy	-0.171	eV per atom
# raw total energy	-56.03	eV/cell

---

Repeat the sixth record exactly.
# KTl3Pt3 PBE optimized geometry
data_KTl3Pt3
_space_group_name_H-M_alt 'P 1'
_space_group_IT_number 1
_space_group_name_Hall 'P 1'
_cell_length_a 7.6437
_cell_length_b 7.6437
_cell_length_c 7.6437
_cell_angle_alpha 90.00
_cell_angle_beta 90.00
_cell_angle_gamma 90.00
loop_
_atom_site_label
_atom_site_fract_x
_atom_site_fract_y
_atom_site_fract_z
Tl1 0.2500 0.0000 0.5000
Tl2 0.0000 0.5000 0.2500
Tl3 0.5000 0.7500 0.0000
Tl4 0.7500 0.0000 0.5000
Tl5 0.0000 0.5000 0.7500
Tl6 0.5000 0.2500 0.0000
K1 0.5000 0.5000 0.5000
K2 0.0000 0.0000 0.0000
Pt1 0.0000 0.2500 0.5000
Pt2 0.0000 0.7500 0.5000
Pt3 0.5000 0.0000 0.7500
Pt4 0.7500 0.5000 0.0000
Pt5 0.5000 0.0000 0.2500
Pt6 0.2500 0.5000 0.0000
# DFT formation energy	0.108	eV per atom
# excess energy over the best structure of this formula in the dataset	198	meV per atom
# raw total energy	-51.12	eV/cell

---

Q: Among the records above, which one has the highest raw total energy?
A: K6Tl2Pt